[1]
TaSn2 | PBE | relaxed

Geometry as POSCAR:
```
TaSn2
1.0
0.000 4.114 4.114
4.114 0.000 4.114
4.114 4.114 0.000
Ta Sn
2 4
Cartesian
1.029 1.029 1.029
7.200 7.200 7.200
4.114 2.057 2.057
2.057 4.114 2.057
2.057 2.057 4.114
4.114 4.114 4.114
```

Properties
- final energy (eV for the cell shown) = -33.3
- space group = Fd-3m (227)
- theoretical density (g/cm3) = 9.98

[2]
Ta2TcSn | PBE | relaxed

Geometry as POSCAR:
```
Ta2TcSn
1.0
0.000 3.287 3.287
3.287 0.000 3.287
3.287 3.287 0.000
Ta Tc Sn
2 1 1
Cartesian
0.000 0.000 0.000
1.644 1.644 1.644
4.931 4.931 4.931
3.287 3.287 3.287
```

Properties
- final energy (eV for the cell shown) = -37.7
- space group = F-43m (216)
- theoretical density (g/cm3) = 13.52

[3]
TaTc2Sn | PBE | relaxed

Geometry as POSCAR:
```
TaTc2Sn
1.0
0.000 3.236 3.236
3.236 0.000 3.236
3.236 3.236 0.000
Ta Tc Sn
1 2 1
Cartesian
0.000 0.000 0.000
1.618 1.618 1.618
3.236 3.236 3.236
4.853 4.853 4.853
```

Properties
- final energy (eV for the cell shown) = -35.4
- space group = F-43m (216)
- theoretical density (g/cm3) = 12.15

[4]
TaTcSn2 | PBE | relaxed

Geometry as POSCAR:
```
TaTcSn2
1.0
0.000 3.386 3.386
3.386 0.000 3.386
3.386 3.386 0.000
Ta Tc Sn
1 1 2
Cartesian
0.000 0.000 0.000
1.693 1.693 1.693
3.386 3.386 3.386
5.079 5.079 5.079
```

Properties
- final energy (eV for the cell shown) = -28.8
- space group = F-43m (216)
- theoretical density (g/cm3) = 11.04

Question: What is the theoretical density in the first record?
Answer: 9.98 g/cm3